#a
Entry from Alexandria: an optimized crystal structure of NaPm2Sc (PBE-GGA).

Properties
V ... 131.1 Å³ per cell
Total magnetic moment ... 0.000 Bohr magnetons per cell

Lattice parameters (Å, degrees): 3.478 3.478 12.674 82.11 82.11 60.00
Fractional coordinates of all 4 atoms:
Na1 0.000 0.000 0.000
Sc1 0.500 0.500 0.500
Pm1 0.906 0.906 0.283
Pm2 0.094 0.094 0.717

---

#b
Entry from Alexandria: an optimized crystal structure of NaPm2Sc (PBE-GGA).

Properties
V ... 131.9 Å³ per cell
Total magnetic moment ... 0.000 Bohr magnetons per cell

Lattice parameters (Å, degrees): 3.851 3.851 8.895 90.00 90.00 90.00
Fractional coordinates of all 4 atoms:
Pm1 0.000 0.000 0.787
Pm2 0.000 0.000 0.213
Sc1 0.500 0.500 0.000
Na1 0.500 0.500 0.500

---

Tell me which of them is the least stable. Sure, it is #a.

---

#a
Entry from Alexandria: an optimized crystal structure of NaPmSe2 (PBE-GGA).

Properties
V ... 101.2 Å³ per cell
Total magnetic moment ... 0.000 Bohr magnetons per cell

Lattice parameters (Å, degrees): 3.666 3.666 7.531 90.00 90.00 90.00
Fractional coordinates of all 4 atoms:
Pm1 0.500 0.500 0.000
Na1 0.500 0.500 0.500
Se1 0.000 0.000 0.228
Se2 0.000 0.000 0.772

---

#b
Entry from Alexandria: an optimized crystal structure of NaPmSe2 (PBE-GGA).

Properties
V ... 109.9 Å³ per cell
Total magnetic moment ... 0.000 Bohr magnetons per cell

Lattice parameters (Å, degrees): 4.255 4.255 7.429 73.36 73.36 60.00
Fractional coordinates of all 4 atoms:
Se1 0.255 0.255 0.235
Se2 0.745 0.745 0.765
Na1 0.500 0.500 0.500
Pm1 0.000 0.000 0.000

---

#c
Entry from Alexandria: an optimized crystal structure of NaPmSe2 (PBE-GGA).

Properties
V ... 112.8 Å³ per cell
Total magnetic moment ... 0.000 Bohr magnetons per cell

Lattice parameters (Å, degrees): 4.218 4.218 7.711 74.13 74.13 60.00
Fractional coordinates of all 4 atoms:
Se1 0.077 0.077 0.768
Se2 0.258 0.258 0.226
Na1 0.497 0.497 0.510
Pm1 0.668 0.668 0.997

---

Tell me which of them is the least stable. Sure, it is #a.

---

#a
Entry from Alexandria: an optimized crystal structure of NaPm4Se5 (PBE-GGA).

Properties
V ... 261.6 Å³ per cell
Total magnetic moment ... 0.000 Bohr magnetons per cell

Lattice parameters (Å, degrees): 5.916 7.278 7.278 80.49 66.02 66.02
Fractional coordinates of all 10 atoms:
Pm1 0.800 0.803 0.599
Pm2 0.399 0.401 0.803
Pm3 0.202 0.197 0.401
Pm4 0.603 0.599 0.197
Na1 0.001 0.000 0.000
Se1 0.098 0.604 0.201
Se2 0.904 0.396 0.799
Se3 0.702 0.201 0.396
Se4 0.501 0.000 0.000
Se5 0.300 0.799 0.604

---

#b
Entry from Alexandria: an optimized crystal structure of NaPm4Se5 (PBE-GGA).

Properties
V ... 262.7 Å³ per cell
Total magnetic moment ... 0.000 Bohr magnetons per cell

Lattice parameters (Å, degrees): 4.211 5.917 11.150 105.39 100.88 90.00
Fractional coordinates of all 10 atoms:
Se1 0.398 0.898 0.797
Se2 0.000 0.500 0.000
Se3 0.801 0.301 0.603
Se4 0.199 0.699 0.397
Se5 0.602 0.102 0.203
Pm1 0.600 0.600 0.201
Pm2 0.203 0.203 0.406
Pm3 0.797 0.797 0.594
Pm4 0.400 0.400 0.799
Na1 0.000 0.000 0.000

---

Tell me which of them is the least stable. Sure, it is #a.

---

#a
Entry from Alexandria: an optimized crystal structure of NaPmSm (PBE-GGA).

Properties
V ... 104.6 Å³ per cell
Total magnetic moment ... 0.000 Bohr magnetons per cell

Lattice parameters (Å, degrees): 3.553 3.553 8.655 101.85 101.85 90.00
Fractional coordinates of all 3 atoms:
Pm1 0.326 0.326 0.651
Sm1 0.674 0.674 0.348
Na1 0.000 0.000 0.000

---

#b
Entry from Alexandria: an optimized crystal structure of NaPmSm (PBE-GGA).

Properties
V ... 105.1 Å³ per cell
Total magnetic moment ... 0.000 Bohr magnetons per cell

Lattice parameters (Å, degrees): 3.617 3.617 9.277 90.00 90.00 120.00
Fractional coordinates of all 3 atoms:
Sm1 0.333 0.667 0.652
Na1 0.000 0.000 0.000
Pm1 0.667 0.333 0.348

---

#c
Entry from Alexandria: an optimized crystal structure of NaPmSm (PBE-GGA).

Properties
V ... 205.2 Å³ per cell
Total magnetic moment ... 0.001 Bohr magnetons per cell

Lattice parameters (Å, degrees): 3.912 3.912 13.413 90.00 90.00 90.00
Fractional coordinates of all 6 atoms:
Na1 0.000 0.000 0.000
Na2 0.500 0.500 0.000
Sm1 0.000 0.500 0.239
Sm2 0.500 0.000 0.761
Pm1 0.500 0.000 0.410
Pm2 0.000 0.500 0.590

---

Tell me which of them is the least stable. Sure, it is #c.

---

#a
Entry from Alexandria: an optimized crystal structure of NaPmSn3 (PBE-GGA).

Properties
V ... 560.8 Å³ per cell
Total magnetic moment ... 0.000 Bohr magnetons per cell

Lattice parameters (Å, degrees): 6.313 6.357 13.976 90.00 90.00 90.01
Fractional coordinates of all 20 atoms:
Na1 0.750 0.500 0.902
Na2 0.250 0.000 0.098
Na3 0.750 0.000 0.902
Na4 0.250 0.500 0.098
Sn1 0.724 0.750 0.112
Sn2 0.250 0.000 0.504
Sn3 0.750 0.500 0.496
Sn4 0.250 0.500 0.504
Sn5 0.776 0.250 0.112
Sn6 0.276 0.250 0.888
Sn7 0.224 0.750 0.888
Sn8 0.493 0.250 0.286
Sn9 0.507 0.750 0.714
Sn10 0.750 0.000 0.496
Sn11 0.007 0.750 0.286
Sn12 0.993 0.250 0.714
Pm1 0.498 0.750 0.321
Pm2 0.502 0.250 0.679
Pm3 0.002 0.250 0.321
Pm4 0.998 0.750 0.679

---

#b
Entry from Alexandria: an optimized crystal structure of NaPmSn3 (PBE-GGA).

Properties
V ... 277.9 Å³ per cell
Total magnetic moment ... 0.000 Bohr magnetons per cell

Lattice parameters (Å, degrees): 5.014 3.464 16.098 96.18 90.00 90.00
Fractional coordinates of all 10 atoms:
Sn1 0.250 0.678 0.355
Sn2 0.250 0.375 0.751
Sn3 0.750 0.527 0.055
Sn4 0.750 0.625 0.249
Sn5 0.250 0.473 0.945
Sn6 0.750 0.322 0.645
Pm1 0.750 0.921 0.842
Pm2 0.250 0.079 0.158
Na1 0.750 0.218 0.437
Na2 0.250 0.782 0.563

---

Tell me which of them is the least stable. Sure, it is #b.

---

#a
Entry from Alexandria: an optimized crystal structure of NaPmTlSn (PBE-GGA).

Properties
V ... 111.4 Å³ per cell
Total magnetic moment ... 0.000 Bohr magnetons per cell

Lattice parameters (Å, degrees): 5.402 5.402 5.402 60.00 60.00 60.00
Fractional coordinates of all 4 atoms:
Sn1 0.250 0.250 0.250
Tl1 0.750 0.750 0.750
Pm1 0.500 0.500 0.500
Na1 0.000 0.000 0.000

---

#b
Entry from Alexandria: an optimized crystal structure of NaPmTlSn (PBE-GGA).

Properties
V ... 110.5 Å³ per cell
Total magnetic moment ... 0.000 Bohr magnetons per cell

Lattice parameters (Å, degrees): 4.355 4.880 5.200 90.00 90.00 90.00
Fractional coordinates of all 4 atoms:
Sn1 0.500 0.000 0.500
Pm1 0.000 0.500 0.500
Tl1 0.500 0.500 0.000
Na1 0.000 0.000 0.000

---

Tell me which of them is the least stable. Sure, it is #a.

---

#a
Entry from Alexandria: an optimized crystal structure of NaSrPm (PBE-GGA).

Properties
V ... 122.7 Å³ per cell
Total magnetic moment ... 0.000 Bohr magnetons per cell

Lattice parameters (Å, degrees): 3.838 3.838 9.621 90.00 90.00 120.00
Fractional coordinates of all 3 atoms:
Sr1 0.333 0.667 0.674
Pm1 0.000 0.000 0.004
Na1 0.667 0.333 0.323

---

#b
Entry from Alexandria: an optimized crystal structure of NaSrPm (PBE-GGA).

Properties
V ... 248.0 Å³ per cell
Total magnetic moment ... 0.000 Bohr magnetons per cell

Lattice parameters (Å, degrees): 3.894 3.894 19.425 78.46 78.46 59.93
Fractional coordinates of all 6 atoms:
Sr1 0.041 0.041 0.909
Sr2 0.712 0.712 0.398
Na1 0.265 0.265 0.573
Na2 0.489 0.489 0.734
Pm1 0.493 0.493 0.228
Pm2 0.259 0.259 0.080

---

Tell me which of them is the least stable. Sure, it is #a.

---

#a
Entry from Alexandria: an optimized crystal structure of NaTbPm2 (PBE-GGA).

Properties
V ... 137.0 Å³ per cell
Total magnetic moment ... 0.000 Bohr magnetons per cell

Lattice parameters (Å, degrees): 3.543 3.543 10.908 90.00 90.00 90.00
Fractional coordinates of all 4 atoms:
Na1 0.500 0.500 0.500
Tb1 0.500 0.500 0.000
Pm1 0.000 0.000 0.233
Pm2 0.000 0.000 0.767

---

#b
Entry from Alexandria: an optimized crystal structure of NaTbPm2 (PBE-GGA).

Properties
V ... 141.0 Å³ per cell
Total magnetic moment ... 0.000 Bohr magnetons per cell

Lattice parameters (Å, degrees): 3.559 3.559 13.016 82.14 82.14 60.00
Fractional coordinates of all 4 atoms:
Pm1 0.092 0.092 0.724
Pm2 0.908 0.908 0.276
Tb1 0.500 0.500 0.500
Na1 0.000 0.000 0.000

---

Tell me which of them is the least stable. Sure, it is #b.

---

#a
Entry from Alexandria: an optimized crystal structure of NaTbPm (PBE-GGA).

Properties
V ... 102.5 Å³ per cell
Total magnetic moment ... 0.000 Bohr magnetons per cell

Lattice parameters (Å, degrees): 3.534 3.534 8.580 101.89 101.89 90.00
Fractional coordinates of all 3 atoms:
Pm1 0.675 0.675 0.351
Tb1 0.326 0.326 0.651
Na1 0.999 0.999 0.998

---

#b
Entry from Alexandria: an optimized crystal structure of NaTbPm (PBE-GGA).

Properties
V ... 206.1 Å³ per cell
Total magnetic moment ... 0.000 Bohr magnetons per cell

Lattice parameters (Å, degrees): 6.176 3.605 9.924 100.26 108.28 90.07
Fractional coordinates of all 6 atoms:
Pm1 0.188 0.420 0.260
Pm2 0.006 0.569 0.563
Na1 0.844 0.745 0.910
Na2 0.349 0.246 0.914
Tb1 0.688 0.921 0.262
Tb2 0.505 0.068 0.562

---

Tell me which of them is the least stable. Sure, it is #a.

---

#a
Entry from Alexandria: an optimized crystal structure of NaPm2Tc (PBE-GGA).

Properties
V ... 115.6 Å³ per cell
Total magnetic moment ... 0.000 Bohr magnetons per cell

Lattice parameters (Å, degrees): 3.530 3.530 9.282 90.00 90.00 90.00
Fractional coordinates of all 4 atoms:
Pm1 0.000 0.000 0.180
Pm2 0.000 0.000 0.820
Tc1 0.500 0.500 0.000
Na1 0.500 0.500 0.500

---

#b
Entry from Alexandria: an optimized crystal structure of NaPm2Tc (PBE-GGA).

Properties
V ... 118.9 Å³ per cell
Total magnetic moment ... 0.000 Bohr magnetons per cell

Lattice parameters (Å, degrees): 3.579 3.579 10.914 80.56 80.56 60.00
Fractional coordinates of all 4 atoms:
Tc1 0.000 0.000 0.000
Na1 0.500 0.500 0.500
Pm1 0.271 0.271 0.188
Pm2 0.729 0.729 0.812

---

Tell me which of them is the least stable. Sure, it is #b.

---

#a
Entry from Alexandria: an optimized crystal structure of NaPm2Tm (PBE-GGA).

Properties
V ... 138.6 Å³ per cell
Total magnetic moment ... 0.000 Bohr magnetons per cell

Lattice parameters (Å, degrees): 3.539 3.539 12.943 82.14 82.14 60.00
Fractional coordinates of all 4 atoms:
Pm1 0.093 0.093 0.722
Pm2 0.907 0.907 0.278
Na1 0.000 0.000 0.000
Tm1 0.500 0.500 0.500

---

#b
Entry from Alexandria: an optimized crystal structure of NaPm2Tm (PBE-GGA).

Properties
V ... 134.7 Å³ per cell
Total magnetic moment ... 0.000 Bohr magnetons per cell

Lattice parameters (Å, degrees): 3.516 3.516 10.893 90.00 90.00 90.00
Fractional coordinates of all 4 atoms:
Pm1 0.000 0.000 0.769
Pm2 0.000 0.000 0.231
Tm1 0.500 0.500 0.000
Na1 0.500 0.500 0.500

---

Tell me which of them is the least stable. Sure, it is #a.

---

#a
Entry from Alexandria: an optimized crystal structure of NaPmY (PBE-GGA).

Properties
V ... 212.0 Å³ per cell
Total magnetic moment ... 0.000 Bohr magnetons per cell

Lattice parameters (Å, degrees): 6.614 6.807 6.322 75.28 58.46 60.93
Fractional coordinates of all 6 atoms:
Y1 0.750 0.500 0.500
Y2 0.250 0.500 0.500
Pm1 0.328 0.000 0.344
Pm2 0.672 0.000 0.656
Na1 0.128 0.744 0.000
Na2 0.872 0.256 0.000

---

#b
Entry from Alexandria: an optimized crystal structure of NaPmY (PBE-GGA).

Properties
V ... 103.1 Å³ per cell
Total magnetic moment ... 0.001 Bohr magnetons per cell

Lattice parameters (Å, degrees): 3.594 3.594 9.216 90.00 90.00 120.00
Fractional coordinates of all 3 atoms:
Na1 0.000 0.000 0.998
Y1 0.333 0.667 0.653
Pm1 0.667 0.333 0.349

---

Tell me which of them is the least stable. Sure, it is #a.